Entry 1:
Material: Ca2SnAs
Method: DFT, PBE-GGA
State: optimized geometry

Cell lengths 8.303, 8.303, 6.772 Å; angles 52.19, 52.19, 90.00 degrees
Sites, in units of the cell vectors:
Ca1 0.875 0.837 0.750
Ca2 0.163 0.625 0.250
Ca3 0.587 0.125 0.250
Ca4 0.375 0.413 0.750
As1 0.250 0.750 0.500
As2 0.500 0.500 0.000
Sn1 0.000 0.000 0.000
Sn2 0.750 0.250 0.500

Output
Magnetic moment = 0.00 μB/cell
Total energy = -29.7 eV for the cell shown
Density = 3.9 g/cm³
N(E_F) = 2.2 states/eV/f.u.
Relative energy among the computed polymorphs = 0.222 eV per atom
E_form = -0.545 eV per atom


Entry 2:
Material: YCrTc
Method: DFT, PBE-GGA
State: optimized geometry

Cell lengths 4.621, 4.621, 4.621 Å; angles 60.00, 60.00, 60.00 degrees
Last column: magnetic moment on the atom in μB.
Sites, in units of the cell vectors:
Cr1 0.000 0.000 0.000  3.57
Tc1 0.500 0.500 0.500  -1.68
Y1 0.750 0.750 0.750  0.07

Output
Magnetic moment = 2.20 μB/cell
Total energy = -22.2 eV for the cell shown
Density = 5.7 g/cm³
N(E_F) = 5.4 states/eV/f.u.
Relative energy among the computed polymorphs = 1.376 eV per atom
E_form = 1.420 eV per atom


Entry 3:
Material: PmAl3Au
Method: DFT, PBE-GGA
State: optimized geometry

Cell lengths 4.311, 8.474, 11.078 Å; angles 90.00, 90.00, 90.00 degrees
Sites, in units of the cell vectors:
Al1 0.750 0.927 0.596
Al2 0.250 0.573 0.096
Al3 0.250 0.889 0.805
Al4 0.250 0.073 0.404
Al5 0.750 0.634 0.712
Al6 0.250 0.389 0.695
Al7 0.750 0.427 0.904
Al8 0.750 0.134 0.788
Al9 0.250 0.866 0.212
Al10 0.250 0.366 0.288
Al11 0.750 0.611 0.305
Al12 0.750 0.111 0.195
Au1 0.250 0.097 0.641
Au2 0.750 0.403 0.141
Au3 0.250 0.597 0.859
Au4 0.750 0.903 0.359
Pm1 0.250 0.684 0.510
Pm2 0.750 0.816 0.010
Pm3 0.750 0.316 0.490
Pm4 0.250 0.184 0.990

Output
Magnetic moment = 0.00 μB/cell
Total energy = -87.6 eV for the cell shown
Density = 6.9 g/cm³
N(E_F) = 1.5 states/eV/f.u.
Relative energy among the computed polymorphs = 0.099 eV per atom
E_form = -0.526 eV per atom


Entry 4:
Material: Pm5Sn2Sb
Method: DFT, PBE-GGA
State: optimized geometry

Cell lengths 8.317, 8.317, 9.179 Å; angles 116.94, 116.94, 90.00 degrees
Last column: magnetic moment on the atom in μB.
Sites, in units of the cell vectors:
Sb1 0.750 0.750 0.500  -0.02
Sb2 0.250 0.250 0.500  -0.02
Pm1 0.689 0.189 0.700  0.22
Pm2 0.511 0.689 0.700  0.22
Pm3 0.489 0.311 0.300  0.22
Pm4 0.811 0.989 0.300  0.22
Pm5 0.989 0.489 0.300  0.22
Pm6 0.311 0.811 0.300  0.22
Pm7 0.000 0.000 0.000  0.28
Pm8 0.189 0.011 0.700  0.22
Pm9 0.500 0.500 0.000  0.28
Pm10 0.011 0.511 0.700  0.22
Sn1 0.137 0.363 0.000  -0.02
Sn2 0.363 0.863 0.000  -0.02
Sn3 0.637 0.137 0.000  -0.02
Sn4 0.863 0.637 0.000  -0.02

Output
Magnetic moment = 4.74 μB/cell
Total energy = -83.5 eV for the cell shown
Density = 7.4 g/cm³
N(E_F) = 8.5 states/eV/f.u.
Relative energy among the computed polymorphs = 0.010 eV per atom
Formation energy without anion corrections = -0.731 eV/atom


Entry 5:
Material: KAc2CdS4
Method: DFT, PBE-GGA
State: optimized geometry

Cell lengths 4.371, 7.659, 15.019 Å; angles 90.00, 90.00, 106.58 degrees
Sites, in units of the cell vectors:
S1 0.265 0.529 0.112
S2 0.564 0.129 0.250
S3 0.735 0.471 0.612
S4 0.436 0.871 0.750
S5 0.000 0.000 0.500
S6 0.265 0.529 0.388
S7 0.735 0.471 0.888
S8 0.000 0.000 0.000
Ac1 0.627 0.255 0.055
Ac2 0.373 0.745 0.945
Ac3 0.627 0.255 0.445
Ac4 0.373 0.745 0.555
K1 0.887 0.774 0.250
K2 0.113 0.226 0.750
Cd1 0.160 0.319 0.250
Cd2 0.840 0.681 0.750

Output
Magnetic moment = 0.00 μB/cell
Total energy = -78.2 eV for the cell shown
Density = 5.1 g/cm³
N(E_F) = 2.1 states/eV/f.u.
Formation energy without anion corrections = -1.548 eV/atom


Entry 6:
Material: LaRePb2
Method: DFT, PBE-GGA
State: optimized geometry

Cell lengths 5.134, 5.134, 5.134 Å; angles 60.00, 60.00, 60.00 degrees
Sites, in units of the cell vectors:
Re1 0.500 0.500 0.500
Pb1 0.250 0.250 0.250
Pb2 0.750 0.750 0.750
La1 0.000 0.000 0.000

Output
Magnetic moment = 0.00 μB/cell
Total energy = -23.4 eV for the cell shown
Density = 12.8 g/cm³
N(E_F) = 2.0 states/eV/f.u.
Relative energy among the computed polymorphs = 0.041 eV per atom
E_form = 0.345 eV per atom


Question: Which of these has the lowest total energy?
Answer: PmAl3Au